# 1
Compound: Ti2CrW2
Source: Alexandria
Functional: PBE
Structure: relaxed

a = 7.376 Å, b = 7.376 Å, c = 7.376 Å
α = 151.37°, β = 151.37°, γ = 40.93°
Sites, in units of the cell vectors:
Ti (0.097, 0.097, 0.000)
Ti (0.903, 0.903, 0.000)
Cr (0.500, 0.500, 0.000)
W (0.250, 0.750, 0.500)
W (0.750, 0.250, 0.500)

Values from the calculation:
Raw total energy (eV/f.u.): -47.1
D(E_F) (states/eV per atom): 1.160
Mass density (g/cm³): 9.3
SG: No. 139
E_form (eV/atom): 0.852

---

# 2
Compound: RbNaF3
Source: Alexandria
Functional: PBE
Structure: relaxed

a = 4.471 Å, b = 4.471 Å, c = 4.471 Å
α = 90.00°, β = 90.00°, γ = 90.00°
Sites, in units of the cell vectors:
Rb (0.000, 0.000, 0.000)
Na (0.500, 0.500, 0.500)
F (0.000, 0.500, 0.500)
F (0.500, 0.000, 0.500)
F (0.500, 0.500, 0.000)

Values from the calculation:
Raw total energy (eV/f.u.): -18.6
D(E_F) (states/eV per atom): 1.870
Mass density (g/cm³): 3.1
SG: No. 221
Formation energy from raw total energies (kJ/mol of atoms): -205.77

---

# 3
Compound: Y4SbAsS2
Source: Alexandria
Functional: PBE
Structure: relaxed

a = 7.067 Å, b = 4.099 Å, c = 7.131 Å
α = 90.00°, β = 109.58°, γ = 90.00°
Sites, in units of the cell vectors:
Y (0.232, 0.000, 0.232)
Y (0.242, 0.500, 0.758)
Y (0.758, 0.500, 0.242)
Y (0.768, 0.000, 0.768)
Sb (0.500, 0.500, 0.500)
As (0.500, 0.000, 0.000)
S (0.000, 0.000, 0.500)
S (0.000, 0.500, 0.000)

Values from the calculation:
Raw total energy (eV/f.u.): -56.1
D(E_F) (states/eV per atom): 0.387
Mass density (g/cm³): 5.3
SG: No. 10
Formation energy from raw total energies (kJ/mol of atoms): -159.81

---

# 4
Compound: La8GaAg2
Source: Alexandria
Functional: PBE
Structure: relaxed

a = 8.840 Å, b = 8.840 Å, c = 8.873 Å
α = 119.17°, β = 119.17°, γ = 36.13°
Sites, in units of the cell vectors:
La (0.076, 0.076, 0.219)
La (0.133, 0.133, 0.689)
La (0.320, 0.320, 0.532)
La (0.408, 0.408, 0.061)
La (0.592, 0.592, 0.939)
La (0.680, 0.680, 0.468)
La (0.867, 0.867, 0.311)
La (0.924, 0.924, 0.781)
Ga (0.500, 0.500, 0.500)
Ag (0.227, 0.227, 0.106)
Ag (0.773, 0.773, 0.894)

Values from the calculation:
Raw total energy (eV/f.u.): -50.0
D(E_F) (states/eV per atom): 1.126
Mass density (g/cm³): 6.6
SG: No. 12
E_form (eV/atom): -0.172

---

# 5
Compound: Al3SeS
Source: Alexandria
Functional: PBE
Structure: relaxed

a = 4.827 Å, b = 4.827 Å, c = 4.827 Å
α = 90.00°, β = 90.00°, γ = 90.00°
Sites, in units of the cell vectors:
Al (0.000, 0.000, 0.500)
Al (0.000, 0.500, 0.000)
Al (0.500, 0.000, 0.000)
Se (0.500, 0.500, 0.500)
S (0.000, 0.000, 0.000)

Values from the calculation:
Raw total energy (eV/f.u.): -17.1
D(E_F) (states/eV per atom): 0.556
Mass density (g/cm³): 2.8
SG: No. 221
Formation energy from raw total energies (kJ/mol of atoms): 32.82

---

# 6
Compound: AlHg2Pt2
Source: Alexandria
Functional: PBE
Structure: relaxed

a = 6.594 Å, b = 6.594 Å, c = 4.325 Å
α = 90.00°, β = 90.00°, γ = 90.00°
Sites, in units of the cell vectors:
Al (0.000, 0.000, 0.000)
Al (0.500, 0.500, 0.000)
Hg (0.162, 0.338, 0.500)
Hg (0.338, 0.838, 0.500)
Hg (0.662, 0.162, 0.500)
Hg (0.838, 0.662, 0.500)
Pt (0.149, 0.649, 0.000)
Pt (0.351, 0.149, 0.000)
Pt (0.649, 0.851, 0.000)
Pt (0.851, 0.351, 0.000)

Values from the calculation:
Raw total energy (eV/f.u.): -17.6
D(E_F) (states/eV per atom): 0.307
Mass density (g/cm³): 14.5
SG: No. 127
E_form (eV/atom): -0.243